Below is a relaxed CrAgMo crystal, with properties calculated at the PBE-GGA level.

ΔE_f ... 0.4352 eV/atom
Energy relative to the lowest polymorph listed for this composition ... 0 meV per atom

abc: 3.1036 4.4439 13.3846
angles: 90.00 90.00 90.00
Last column: nearest neighbours and their distance in Å.
Space group Fmm2 (No. 42)
Inequivalent atoms, fractional coordinates:
Cr  0.0000  0.0000  0.0000  2 Mo 2.46, 4 Cr 2.71
Ag  0.0000  0.0000  0.6722  4 Ag 2.71, 2 Cr 2.78, 2 Mo 2.92
Mo  0.0000  0.0000  0.3574  2 Cr 2.46, 4 Mo 2.71